The following is a GGA-PBE calculation of a relaxed La3SmP4 crystal, from Alexandria.

```
16
Lattice="7.333 0.065 0.000 -2.509 6.892 0.000 0.000 0.000 8.477" Properties=species:S:1:pos:R:3 pbc="T T T"
P 3.022 1.740 3.153
La 5.500 0.049 3.168
La 4.246 3.495 5.311
P 5.434 5.274 7.444
Sm 1.833 0.016 1.049
La 1.833 0.016 5.309
La 0.579 3.462 7.425
P 3.057 1.716 7.444
La 0.579 3.462 3.166
P 1.767 5.241 1.033
P -1.864 5.185 3.153
P 1.803 5.217 5.324
Sm 5.500 0.049 7.428
P -0.609 1.684 1.033
P 6.688 1.773 5.324
La 4.246 3.495 1.052
```

Total DFT energy (no corrections) = -6.71 eV/atom
Spin magnetization = 0.0 Bohr magnetons per cell
Energy relative to the elements = -1569.4 meV/atom

=====

The following is a GGA-PBE calculation of a relaxed La4SmP5 crystal, from Alexandria.

```
10
Lattice="5.407 0.000 2.608 2.703 6.710 1.304 -0.212 0.000 7.348" Properties=species:S:1:pos:R:3 pbc="T T T"
P 5.776 2.644 8.765
P 4.263 1.324 4.992
La 1.547 1.343 3.715
P 2.710 0.000 1.307
Sm 0.006 0.000 0.003
La 6.362 5.367 7.549
P 2.133 4.066 2.499
La 3.080 2.674 7.445
P 3.646 5.385 6.272
La 4.829 4.036 3.820
```

Total DFT energy (no corrections) = -6.72 eV/atom
Spin magnetization = 0.0 Bohr magnetons per cell
Energy relative to the elements = -1570.3 meV/atom

=====

The following is a GGA-PBE calculation of a relaxed LaSm4P5 crystal, from Alexandria.

```
10
Lattice="4.040 0.000 0.923 1.705 6.717 1.841 0.010 0.004 9.262" Properties=species:S:1:pos:R:3 pbc="T T T"
P 2.139 2.075 9.246
La 0.000 0.000 0.000
Sm 2.984 5.360 5.550
P 0.858 3.360 5.551
Sm 2.772 1.361 6.476
Sm 1.488 2.667 2.791
P 3.616 4.646 2.780
P 2.358 6.055 8.289
Sm 4.267 4.054 9.235
P 3.398 0.666 3.737
```

Total DFT energy (no corrections) = -6.65 eV/atom
Spin magnetization = 0.0 Bohr magnetons per cell
Energy relative to the elements = -1567.7 meV/atom

=====

The following is a GGA-PBE calculation of a relaxed La2Sm3P4 crystal, from Alexandria.

```
9
Lattice="4.005 0.000 0.985 1.767 6.764 1.449 -0.167 0.634 9.312" Properties=species:S:1:pos:R:3 pbc="T T T"
La 2.963 5.747 5.221
Sm 4.098 4.569 9.244
Sm 0.000 0.000 0.000
P 3.333 0.903 3.718
La 2.642 1.652 6.525
P 3.624 4.788 2.537
Sm 1.508 2.829 2.503
P 1.982 2.611 9.209
P 2.273 6.495 8.029
```

Total DFT energy (no corrections) = -6.48 eV/atom
Spin magnetization = 0.7 Bohr magnetons per cell
Energy relative to the elements = -1402.7 meV/atom

=====

The following is a GGA-PBE calculation of a relaxed LaTb3Sm2P6 crystal, from Alexandria.

```
12
Lattice="-6.826 -1.713 -0.908 4.867 -5.107 0.763 -0.259 2.393 6.674" Properties=species:S:1:pos:R:3 pbc="T T T"
La 0.000 0.000 0.000
P -3.626 -2.734 4.567
Tb -1.109 -2.213 3.265
Tb 2.795 -3.346 3.823
Tb -5.013 -1.080 2.707
P -2.538 -0.547 1.399
Sm -2.930 -2.844 -0.351
P -0.686 0.061 4.921
Sm 0.971 -3.976 0.207
P 0.320 -3.879 5.131
P -1.532 -4.487 1.608
P 1.408 -1.693 1.963
```

Total DFT energy (no corrections) = -6.64 eV/atom
Spin magnetization = 0.0 Bohr magnetons per cell
Energy relative to the elements = -1584.4 meV/atom

=====

The following is a GGA-PBE calculation of a relaxed LaSmTeP crystal, from Alexandria.

```
4
Lattice="4.233 -0.001 0.000 -2.116 3.667 0.000 -2.116 -1.222 7.560" Properties=species:S:1:pos:R:3 pbc="T T T"
Te 2.517 0.955 2.821
Sm 0.400 -0.268 4.957
P -1.716 0.954 6.523
La -1.717 3.399 0.589
```

Total DFT energy (no corrections) = -6.12 eV/atom
Raw formation energy = -1.57 eV/atom
Spin magnetization = 0.0 Bohr magnetons per cell

=====

The following is a GGA-PBE calculation of a relaxed La2SmTh3P6 crystal, from Alexandria.

```
12
Lattice="-2.650 -6.639 1.124 7.148 1.111 0.171 -1.858 3.118 6.259" Properties=species:S:1:pos:R:3 pbc="T T T"
Sm 0.000 0.000 0.000
Th 4.578 1.372 3.460
P 2.926 -3.380 2.593
P 2.260 0.693 1.771
Th -1.938 -3.782 4.093
La 3.881 -1.474 0.489
P -0.965 -1.858 2.084
P 0.380 -3.103 5.782
La 0.618 -4.054 0.806
P 3.605 -0.553 5.469
Th 1.320 -1.205 3.777
P -0.285 0.970 4.960
```

Total DFT energy (no corrections) = -7.35 eV/atom
Spin magnetization = 0.0 Bohr magnetons per cell
Energy relative to the elements = -1580.5 meV/atom

=====

The following is a GGA-PBE calculation of a relaxed La2SmThP4 crystal, from Alexandria.

```
8
Lattice="4.196 0.000 0.000 0.000 7.250 0.125 0.000 -2.536 6.830" Properties=species:S:1:pos:R:3 pbc="T T T"
P 0.000 -0.085 5.221
P 0.000 4.799 1.734
P 2.098 1.190 1.677
P 2.098 3.524 5.278
La 0.000 2.357 3.478
Sm 0.000 0.000 0.000
La 2.098 -1.268 3.415
Th 2.098 3.625 0.062
```

Total DFT energy (no corrections) = -7.05 eV/atom
Spin magnetization = 0.0 Bohr magnetons per cell
Energy relative to the elements = -1596.4 meV/atom

=====

The following is a GGA-PBE calculation of a relaxed La4SmTh3P8 crystal, from Alexandria.

```
16
Lattice="8.391 0.000 0.000 0.000 8.414 0.011 -4.195 -4.191 5.936" Properties=species:S:1:pos:R:3 pbc="T T T"
La 2.098 -2.096 2.968
P -2.091 2.066 5.902
P 4.195 4.160 2.937
P 6.287 2.157 0.045
Th -2.098 2.112 2.973
Th 4.195 4.207 0.006
P 4.195 0.068 3.003
P 2.091 2.066 5.902
La 4.195 0.000 0.000
P 0.000 0.064 3.010
La 0.000 0.000 0.000
Sm 0.000 4.207 0.006
P 0.000 4.156 2.943
P 2.104 2.157 0.045
La -2.098 -2.096 2.968
Th 2.098 2.112 2.973
```

Total DFT energy (no corrections) = -7.22 eV/atom
Spin magnetization = 0.0 Bohr magnetons per cell
Energy relative to the elements = -1594.2 meV/atom

=====

The following is a GGA-PBE calculation of a relaxed La3Sm2TmP6 crystal, from Alexandria.

```
12
Lattice="7.216 -0.001 0.001 -3.607 6.250 0.001 -1.203 -2.084 6.804" Properties=species:S:1:pos:R:3 pbc="T T T"
P 3.590 2.115 5.181
La 1.203 2.082 3.403
P 2.425 4.199 1.631
Sm 0.004 4.164 0.001
P -0.020 -0.034 5.174
Sm 3.605 2.085 0.001
La -2.396 4.161 3.403
Tm 0.000 0.000 0.000
P 2.368 -0.001 1.624
La 4.802 0.004 3.403
P 0.038 4.166 5.181
P -1.184 2.050 1.624
```

Total DFT energy (no corrections) = -6.66 eV/atom
Spin magnetization = 0.0 Bohr magnetons per cell
Energy relative to the elements = -1565.3 meV/atom

=====

The following is a GGA-PBE calculation of a relaxed LaSmTm2P4 crystal, from Alexandria.

```
8
Lattice="-2.399 2.541 -2.094 -5.464 -1.816 4.057 -0.316 4.302 5.582" Properties=species:S:1:pos:R:3 pbc="T T T"
P -3.765 3.227 0.302
P -2.736 4.069 4.108
Tm -1.358 3.422 1.744
P -5.444 0.959 3.436
Tm -0.316 4.302 5.582
Sm -2.890 1.243 4.819
P -4.415 1.801 7.242
La -4.248 4.665 6.563
```

Total DFT energy (no corrections) = -6.60 eV/atom
Spin magnetization = 0.0 Bohr magnetons per cell
Energy relative to the elements = -1571.4 meV/atom

=====

The following is a GGA-PBE calculation of a relaxed La4Sm3UP8 crystal, from Alexandria.

```
16
Lattice="-5.574 -5.942 -1.679 -1.393 -1.000 8.162 -0.780 7.530 -3.451" Properties=species:S:1:pos:R:3 pbc="T T T"
P -1.745 -1.684 1.734
Sm -3.874 0.294 1.516
La -3.177 0.794 -2.565
La -2.787 -2.971 -0.840
U -0.697 -0.500 4.081
P -6.003 2.271 1.298
La 0.000 0.000 0.000
P -2.160 2.044 -0.065
P -5.011 -0.868 -0.902
P -2.737 1.455 3.935
La -0.390 3.765 -1.725
P -5.587 -1.457 3.097
Sm -3.484 -3.471 3.242
Sm -1.086 3.265 2.356
P -3.138 5.325 2.161
P -4.610 -4.738 0.871
```

Total DFT energy (no corrections) = -7.01 eV/atom
Spin magnetization = 2.1 Bohr magnetons per cell
Energy relative to the elements = -1487.2 meV/atom

=====

The following is a GGA-PBE calculation of a relaxed La2SmUP4 crystal, from Alexandria.

```
8
Lattice="-0.106 3.037 -2.784 -4.940 3.399 3.897 6.545 2.146 2.092" Properties=species:S:1:pos:R:3 pbc="T T T"
P -2.131 2.994 3.348
La 0.802 2.772 2.994
P 1.282 5.694 3.113
Sm 0.000 0.000 0.000
P 0.216 2.888 0.092
P 3.735 2.551 2.641
U -2.523 3.218 0.557
La 3.219 2.592 -0.346
```

Total DFT energy (no corrections) = -7.34 eV/atom
Spin magnetization = 2.1 Bohr magnetons per cell
Energy relative to the elements = -1407.1 meV/atom

=====

The following is a GGA-PBE calculation of a relaxed LaSmY2P4 crystal, from Alexandria.

```
8
Lattice="-0.527 -2.450 -3.253 -1.072 -5.524 4.335 -6.928 -0.514 1.510" Properties=species:S:1:pos:R:3 pbc="T T T"
Y -6.928 -0.514 1.510
La -7.728 -4.501 2.051
Sm -4.000 -3.019 2.923
P -2.813 -5.540 2.037
P -5.963 -4.584 4.419
Y -3.728 -1.482 -0.871
P -5.714 -2.948 0.555
P -2.565 -3.905 -1.826
```

Total DFT energy (no corrections) = -7.12 eV/atom
Spin magnetization = 0.0 Bohr magnetons per cell
Energy relative to the elements = -1590.7 meV/atom

=====

The following is a GGA-PBE calculation of a relaxed La3Sm2YP6 crystal, from Alexandria.

```
12
Lattice="7.234 -0.001 0.001 -3.616 6.265 0.001 -1.206 -2.089 6.822" Properties=species:S:1:pos:R:3 pbc="T T T"
P -1.195 2.070 1.640
P 3.607 2.105 5.184
La 4.817 0.002 3.412
Sm 0.003 4.175 0.001
P 2.422 4.194 1.645
P 0.021 4.176 5.184
Y 0.000 0.000 0.000
P -0.011 -0.019 5.179
La 1.206 2.088 3.412
Sm 3.615 2.089 0.001
P 2.391 -0.001 1.640
La -2.406 4.174 3.412
```

Total DFT energy (no corrections) = -6.84 eV/atom
Spin magnetization = 0.0 Bohr magnetons per cell
Energy relative to the elements = -1575.4 meV/atom

=====

The following is a GGA-PBE calculation of a relaxed LaSm3Y2P6 crystal, from Alexandria.

```
12
Lattice="-6.103 -3.650 -0.122 3.432 0.985 6.152 -2.528 6.571 -1.013" Properties=species:S:1:pos:R:3 pbc="T T T"
P -2.271 3.731 4.810
Sm -5.788 0.403 0.411
Sm -2.600 1.953 2.508
Sm 0.588 3.503 4.606
Y -2.928 -2.107 1.967
Y 0.257 -0.559 4.062
P -2.612 -0.347 4.225
P -5.515 2.154 2.675
P -2.929 0.174 0.207
P -2.588 4.253 0.791
La 0.000 0.000 0.000
P 0.315 1.752 2.342
```

Total DFT energy (no corrections) = -6.95 eV/atom
Spin magnetization = 0.0 Bohr magnetons per cell
Energy relative to the elements = -1580.0 meV/atom

=====

The following is a GGA-PBE calculation of a relaxed La2SmZrP4 crystal, from Alexandria.

```
8
Lattice="-3.693 1.707 -0.083 -1.041 -1.925 6.709 2.983 6.445 -0.137" Properties=species:S:1:pos:R:3 pbc="T T T"
P -0.339 4.362 5.011
P -1.413 1.865 1.477
Sm -2.367 -0.109 3.313
P -0.094 0.042 5.046
La -0.355 4.076 -0.110
Zr 0.000 0.000 0.000
P 2.036 4.478 1.526
La 0.971 2.260 3.286
```

Total DFT energy (no corrections) = -7.10 eV/atom
Spin magnetization = 0.0 Bohr magnetons per cell
Energy relative to the elements = -1501.3 meV/atom

=====

The following is a GGA-PBE calculation of a relaxed LaSn3P crystal, from Alexandria.

```
5
Lattice="5.992 0.000 0.000 0.000 5.992 0.000 0.000 0.000 5.992" Properties=species:S:1:pos:R:3 pbc="T T T"
Sn 2.996 0.000 0.000
Sn 0.000 0.000 2.996
La 0.000 0.000 0.000
P 2.996 2.996 2.996
Sn 0.000 2.996 0.000
```

Excess energy over the best structure of this formula in the dataset = 1.183 eV per atom
Total DFT energy (no corrections) = -3.28 eV/atom
Spin magnetization = 0.0 Bohr magnetons per cell
Energy relative to the elements = 1193.9 meV/atom

=====

The following is a GGA-PBE calculation of a relaxed La2SnP2 crystal, from Alexandria.

```
5
Lattice="-3.494 -1.518 0.102 0.635 -1.686 -3.358 1.803 -8.760 2.576" Properties=species:S:1:pos:R:3 pbc="T T T"
P -1.560 -5.940 0.525
La -0.404 -8.640 -0.064
P 0.504 -6.024 -1.205
Sn 0.000 0.000 0.000
La -0.652 -3.324 -0.617
```

Excess energy over the best structure of this formula in the dataset = 0.273 eV per atom
Total DFT energy (no corrections) = -5.74 eV/atom
Spin magnetization = 0.0 Bohr magnetons per cell
Energy relative to the elements = -809.5 meV/atom

=====

The following is a GGA-PBE calculation of a relaxed La2SnP2 crystal, from Alexandria.

```
10
Lattice="7.928 0.000 0.000 0.000 7.928 0.000 0.000 0.000 4.010" Properties=species:S:1:pos:R:3 pbc="T T T"
P 6.703 5.189 0.000
Sn 0.000 0.000 0.000
P 5.189 1.225 0.000
Sn 3.964 3.964 0.000
La 6.707 2.743 2.005
La 2.743 1.221 2.005
P 1.225 2.739 0.000
La 5.185 6.707 2.005
P 2.739 6.703 0.000
La 1.221 5.185 2.005
```

Excess energy over the best structure of this formula in the dataset = 0.000 eV per atom
Total DFT energy (no corrections) = -6.02 eV/atom
Spin magnetization = 0.0 Bohr magnetons per cell
Energy relative to the elements = -1082.5 meV/atom

=====

The following is a GGA-PBE calculation of a relaxed La4Sn2P crystal, from Alexandria.

```
7
Lattice="-3.753 -1.502 2.336 0.032 -6.480 0.549 2.482 -1.448 7.721" Properties=species:S:1:pos:R:3 pbc="T T T"
Sn -1.518 -3.988 4.327
La -2.523 -7.114 5.368
La -1.058 -2.351 1.454
P 0.000 0.000 0.000
Sn 0.279 -5.441 6.279
La 1.284 -2.316 5.238
La -0.181 -7.079 9.153
```

Excess energy over the best structure of this formula in the dataset = 0.000 eV per atom
Total DFT energy (no corrections) = -5.67 eV/atom
Spin magnetization = 0.0 Bohr magnetons per cell
Energy relative to the elements = -939.1 meV/atom

=====

The following is a GGA-PBE calculation of a relaxed LaSnP2 crystal, from Alexandria.

```
8
Lattice="7.271 0.000 0.000 0.000 7.271 0.000 3.635 3.635 3.931" Properties=species:S:1:pos:R:3 pbc="T T T"
P 9.089 8.832 2.948
La 7.271 3.635 1.965
Sn 3.635 3.635 0.000
La 0.000 0.000 0.000
Sn 3.635 7.271 1.965
P 5.453 5.709 2.948
P 2.074 5.453 0.983
P 5.197 1.818 0.983
```

Total DFT energy (no corrections) = -5.42 eV/atom
Spin magnetization = 0.0 Bohr magnetons per cell
Energy relative to the elements = -479.6 meV/atom

=====

The following is a GGA-PBE calculation of a relaxed La4Sn2P crystal, from Alexandria.

```
7
Lattice="-0.005 0.892 -5.376 -4.940 -2.270 -0.372 -6.030 6.849 -1.619" Properties=species:S:1:pos:R:3 pbc="T T T"
P 0.000 0.000 0.000
La -6.174 1.226 -5.314
La -0.003 0.446 -2.688
La -4.802 4.246 -2.052
La -2.470 -1.135 -0.186
Sn -3.421 1.320 -2.539
Sn -7.555 4.152 -4.827
```

Excess energy over the best structure of this formula in the dataset = 0.166 eV per atom
Total DFT energy (no corrections) = -5.50 eV/atom
Spin magnetization = 0.0 Bohr magnetons per cell
Energy relative to the elements = -772.7 meV/atom